1 | CsKTlAs: optimized geometry, PBE.

abc: 5.4561 4.4493 7.4196
angles: 90.00 111.57 90.00
Sites, in units of the cell vectors:
Cs: 0.7333 0.5000 0.4665
K: 0.0279 0.0000 0.0558
Tl: 0.3409 0.0000 0.6818
As: 0.4676 0.5000 0.9352

The space-group type is No. 38. The size of the total moment is 0.00 μB/f.u.

2 | CsKTlAs: optimized geometry, PBE.

abc: 5.8451 5.8451 5.8451
angles: 60.00 60.00 60.00
Sites, in units of the cell vectors:
Cs: 0.7500 0.7500 0.7500
Tl: 0.0000 0.0000 0.0000
K: 0.5000 0.5000 0.5000
As: 0.2500 0.2500 0.2500

The space-group type is No. 216. The size of the total moment is 0.00 μB/f.u.

Most stable pick: 1. Distance to second place: 13.0 kJ/mol of atoms.

1 | Cs2KZnAs: optimized geometry, PBE.

abc: 6.6016 6.2290 6.6016
angles: 90.00 90.00 90.00
Site moments in Bohr magnetons follow the coordinates.
Sites, in units of the cell vectors:
Cs: 0.0000 0.0000 0.5000  0.00
Cs: 0.5000 0.0000 0.0000  -0.01
As: 0.5000 0.5000 0.5000  0.21
K: 0.0000 0.5000 0.0000  -0.01
Zn: 0.0000 0.0000 0.0000  -0.04

The space-group type is No. 123. The size of the total moment is 0.27 μB/f.u.

2 | Cs2KZnAs: optimized geometry, PBE.

abc: 7.5595 7.5595 4.8851
angles: 90.00 90.00 90.00
Sites, in units of the cell vectors:
Cs: 0.0000 0.5000 0.0000
Cs: 0.5000 0.0000 0.0000
As: 0.0000 0.0000 0.0000
K: 0.5000 0.5000 0.5000
Zn: 0.0000 0.0000 0.5000

The space-group type is No. 123. The size of the total moment is 0.00 μB/f.u.

Most stable pick: 2. Distance to second place: 37.4 kJ/mol of atoms.

1 | CsLa3As: optimized geometry, PBE.

abc: 5.7832 5.7832 5.7832
angles: 90.00 90.00 90.00
Sites, in units of the cell vectors:
Cs: 0.0000 0.0000 0.0000
As: 0.5000 0.5000 0.5000
La: 0.0000 0.5000 0.0000
La: 0.0000 0.0000 0.5000
La: 0.5000 0.0000 0.0000

The space-group type is No. 221. The size of the total moment is 0.00 μB/f.u.

2 | CsLa3As: optimized geometry, PBE.

abc: 5.9654 5.9654 5.9654
angles: 90.00 90.00 90.00
Sites, in units of the cell vectors:
Cs: 0.5000 0.5000 0.5000
As: 0.0000 0.0000 0.0000
La: 0.0000 0.5000 0.0000
La: 0.0000 0.0000 0.5000
La: 0.5000 0.0000 0.0000

The space-group type is No. 221. The size of the total moment is 0.00 μB/f.u.

Most stable pick: 2. Distance to second place: 106.4 kJ/mol of atoms.

1 | CsLaAs2Se: optimized geometry, PBE.

abc: 5.6164 5.6164 5.4257
angles: 90.00 90.00 90.00
Sites, in units of the cell vectors:
Cs: 0.0000 0.0000 0.0000
As: 0.0000 0.5000 0.0000
As: 0.5000 0.0000 0.0000
Se: 0.0000 0.0000 0.5000
La: 0.5000 0.5000 0.5000

The space-group type is No. 123. The size of the total moment is 0.00 μB/f.u.

2 | CsLaAs2Se: optimized geometry, PBE.

abc: 5.8886 5.8886 5.8546
angles: 90.00 90.00 90.00
Site moments in Bohr magnetons follow the coordinates.
Sites, in units of the cell vectors:
Cs: 0.5000 0.5000 0.5000  0.01
As: 0.0000 0.5000 0.0000  0.31
As: 0.5000 0.0000 0.0000  0.31
Se: 0.0000 0.0000 0.5000  0.17
La: 0.0000 0.0000 0.0000  0.03

The space-group type is No. 123. The size of the total moment is 1.76 μB/f.u.

Most stable pick: 2. Distance to second place: 97.3 kJ/mol of atoms.

1 | CsLi3As: optimized geometry, PBE.

abc: 5.1930 5.1930 5.1930
angles: 90.00 90.00 90.00
Sites, in units of the cell vectors:
Cs: 0.0000 0.0000 0.0000
As: 0.5000 0.5000 0.5000
Li: 0.0000 0.5000 0.0000
Li: 0.0000 0.0000 0.5000
Li: 0.5000 0.0000 0.0000

The space-group type is No. 221. The size of the total moment is 0.00 μB/f.u.

2 | CsLi3As: optimized geometry, PBE.

abc: 5.1501 5.1501 5.1501
angles: 90.00 90.00 90.00
Sites, in units of the cell vectors:
Cs: 0.5000 0.5000 0.5000
As: 0.0000 0.0000 0.0000
Li: 0.0000 0.5000 0.0000
Li: 0.0000 0.0000 0.5000
Li: 0.5000 0.0000 0.0000

The space-group type is No. 221. The size of the total moment is 0.00 μB/f.u.

Most stable pick: 2. Distance to second place: 116.9 kJ/mol of atoms.

1 | CsLi2As2: optimized geometry, PBE.

abc: 8.6587 8.6587 3.1634
angles: 90.00 90.00 90.00
Sites, in units of the cell vectors:
Cs: 0.0000 0.0000 0.0000
Cs: 0.5000 0.5000 0.0000
As: 0.1271 0.6271 0.5000
As: 0.6271 0.8729 0.5000
As: 0.8729 0.3729 0.5000
As: 0.3729 0.1271 0.5000
Li: 0.3708 0.8708 0.0000
Li: 0.8708 0.6292 0.0000
Li: 0.6292 0.1292 0.0000
Li: 0.1292 0.3708 0.0000

The space-group type is No. 127. The size of the total moment is 0.00 μB/f.u.

2 | CsLi2As2: optimized geometry, PBE.

abc: 8.9785 8.9785 3.2911
angles: 90.00 90.00 90.00
Sites, in units of the cell vectors:
Cs: 0.0000 0.0000 0.0000
Cs: 0.5000 0.5000 0.0000
As: 0.3856 0.8856 0.0000
As: 0.8856 0.6144 0.0000
As: 0.6144 0.1144 0.0000
As: 0.1144 0.3856 0.0000
Li: 0.1229 0.6229 0.5000
Li: 0.6229 0.8771 0.5000
Li: 0.8771 0.3771 0.5000
Li: 0.3771 0.1229 0.5000

The space-group type is No. 127. The size of the total moment is 0.00 μB/f.u.

3 | CsLi2As2: optimized geometry, PBE.

abc: 5.0221 5.0221 6.0373
angles: 65.42 65.42 90.00
Sites, in units of the cell vectors:
Cs: 0.0000 0.0000 0.0000
As: 0.3757 0.3757 0.2485
As: 0.6243 0.6243 0.7515
Li: 0.7500 0.2500 0.5000
Li: 0.2500 0.7500 0.5000

The space-group type is No. 139. The size of the total moment is 0.00 μB/f.u.

Most stable pick: 3. Distance to second place: 16.9 kJ/mol of atoms.

1 | Cs2LiAs2: optimized geometry, PBE.

abc: 7.5698 7.5698 5.9309
angles: 90.00 90.00 90.00
Site moments in Bohr magnetons follow the coordinates.
Sites, in units of the cell vectors:
Cs: 0.1749 0.6749 0.5000  0.01
Cs: 0.6749 0.8251 0.5000  0.01
Cs: 0.8251 0.3251 0.5000  0.01
Cs: 0.3251 0.1749 0.5000  0.01
As: 0.3858 0.8858 0.0000  0.06
As: 0.8858 0.6142 0.0000  0.07
As: 0.6142 0.1142 0.0000  0.06
As: 0.1142 0.3858 0.0000  0.07
Li: 0.0000 0.0000 0.0000  0.00
Li: 0.5000 0.5000 0.0000  0.00

The space-group type is No. 127. The size of the total moment is 0.40 μB/f.u.

2 | Cs2LiAs2: optimized geometry, PBE.

abc: 7.5051 6.5437 8.8542
angles: 94.65 90.00 124.99
Site moments in Bohr magnetons follow the coordinates.
Sites, in units of the cell vectors:
Cs: 0.5018 0.2872 0.1356  0.01
Cs: 0.2145 0.7128 0.3644  0.01
Cs: 0.4982 0.7128 0.8644  0.01
Cs: 0.7855 0.2872 0.6355  0.01
Li: 0.9415 0.0000 0.2500  0.00
Li: 0.0585 0.0000 0.7500  0.00
As: 0.6797 0.6957 0.4861  0.09
As: 0.9840 0.3043 0.0139  0.09
As: 0.3203 0.3043 0.5139  0.09
As: 0.0160 0.6957 0.9861  0.09

The space-group type is No. 15. The size of the total moment is 0.50 μB/f.u.

Most stable pick: 2. Distance to second place: 4.9 kJ/mol of atoms.

1 | CsLiAs2Se: optimized geometry, PBE.

abc: 6.0281 6.0281 6.1719
angles: 90.00 90.00 90.00
Site moments in Bohr magnetons follow the coordinates.
Sites, in units of the cell vectors:
Cs: 0.0000 0.0000 0.0000  0.04
As: 0.0000 0.5000 0.0000  0.51
As: 0.5000 0.0000 0.0000  0.51
Se: 0.0000 0.0000 0.5000  0.39
Li: 0.5000 0.5000 0.5000  0.00

The space-group type is No. 123. The size of the total moment is 3.06 μB/f.u.

2 | CsLiAs2Se: optimized geometry, PBE.

abc: 4.9608 4.9608 5.2407
angles: 90.00 90.00 90.00
Sites, in units of the cell vectors:
Cs: 0.5000 0.5000 0.5000
As: 0.0000 0.5000 0.0000
As: 0.5000 0.0000 0.0000
Se: 0.0000 0.0000 0.5000
Li: 0.0000 0.0000 0.0000

The space-group type is No. 123. The size of the total moment is 0.00 μB/f.u.

Most stable pick: 2. Distance to second place: 101.3 kJ/mol of atoms.

1 | CsMg3As: optimized geometry, PBE.

abc: 5.5623 5.5623 5.5623
angles: 90.00 90.00 90.00
Sites, in units of the cell vectors:
Cs: 0.5000 0.5000 0.5000
As: 0.0000 0.0000 0.0000
Mg: 0.0000 0.5000 0.0000
Mg: 0.0000 0.0000 0.5000
Mg: 0.5000 0.0000 0.0000

The space-group type is No. 221. The size of the total moment is 0.00 μB/f.u.

2 | CsMg3As: optimized geometry, PBE.

abc: 6.4053 6.4053 6.4053
angles: 90.00 90.00 90.00
Site moments in Bohr magnetons follow the coordinates.
Sites, in units of the cell vectors:
Cs: 0.0000 0.0000 0.0000  0.01
As: 0.5000 0.5000 0.5000  0.80
Mg: 0.0000 0.5000 0.0000  0.03
Mg: 0.0000 0.0000 0.5000  0.01
Mg: 0.5000 0.0000 0.0000  0.03

The space-group type is No. 221. The size of the total moment is 2.00 μB/f.u.

Most stable pick: 1. Distance to second place: 122.1 kJ/mol of atoms.

1 | CsMnAs2: optimized geometry, PBE.

abc: 5.2407 5.2407 5.2407
angles: 60.00 60.00 60.00
Site moments in Bohr magnetons follow the coordinates.
Sites, in units of the cell vectors:
Cs: 0.5000 0.5000 0.5000  -0.03
As: 0.2500 0.2500 0.2500  -0.24
As: 0.7500 0.7500 0.7500  -0.24
Mn: 0.0000 0.0000 0.0000  4.11

The space-group type is No. 225. The size of the total moment is 3.44 μB/f.u.

2 | CsMnAs2: optimized geometry, PBE.

abc: 3.9767 3.9767 8.0050
angles: 75.62 75.62 60.00
Site moments in Bohr magnetons follow the coordinates.
Sites, in units of the cell vectors:
Cs: 0.5000 0.5000 0.5000  -0.01
As: 0.2869 0.2869 0.1392  -0.13
As: 0.7131 0.7131 0.8608  -0.13
Mn: 0.0000 0.0000 0.0000  3.08

The space-group type is No. 166. The size of the total moment is 2.79 μB/f.u.

3 | CsMnAs2: optimized geometry, PBE.

abc: 6.1060 6.2003 8.1658
angles: 100.35 111.95 61.29
Site moments in Bohr magnetons follow the coordinates.
Sites, in units of the cell vectors:
Cs: 0.0833 0.2500 0.6665  0.00
Cs: 0.9167 0.7500 0.3335  0.00
Mn: 0.7483 0.2500 0.9966  2.88
Mn: 0.2517 0.7500 0.0034  2.88
As: 0.7953 0.8714 0.8440  -0.10
As: 0.5487 0.6286 0.8440  -0.10
As: 0.2047 0.1286 0.1560  -0.10
As: 0.4513 0.3714 0.1560  -0.10

The space-group type is No. 15. The size of the total moment is 2.82 μB/f.u.

Most stable pick: 3. Distance to second place: 2.7 kJ/mol of atoms.

1 | CsMnAs2Se: optimized geometry, PBE.

abc: 4.8786 4.8786 5.4250
angles: 90.00 90.00 90.00
Site moments in Bohr magnetons follow the coordinates.
Sites, in units of the cell vectors:
Cs: 0.5000 0.5000 0.5000  0.00
As: 0.0000 0.5000 0.0000  -0.18
As: 0.5000 0.0000 0.0000  -0.18
Mn: 0.0000 0.0000 0.0000  3.10
Se: 0.0000 0.0000 0.5000  -0.02

The space-group type is No. 123. The size of the total moment is 2.55 μB/f.u.

2 | CsMnAs2Se: optimized geometry, PBE.

abc: 5.8526 5.8526 5.6202
angles: 90.00 90.00 90.00
Site moments in Bohr magnetons follow the coordinates.
Sites, in units of the cell vectors:
Cs: 0.0000 0.0000 0.0000  0.00
As: 0.0000 0.5000 0.0000  0.33
As: 0.5000 0.0000 0.0000  0.33
Mn: 0.5000 0.5000 0.5000  -4.62
Se: 0.0000 0.0000 0.5000  0.12

The space-group type is No. 123. The size of the total moment is 3.56 μB/f.u.

Most stable pick: 1. Distance to second place: 170.9 kJ/mol of atoms.

1 | CsMo3As: optimized geometry, PBE.

abc: 4.9289 4.9289 4.9289
angles: 90.00 90.00 90.00
Site moments in Bohr magnetons follow the coordinates.
Sites, in units of the cell vectors:
Cs: 0.0000 0.0000 0.0000  -0.02
Mo: 0.0000 0.5000 0.0000  0.39
Mo: 0.0000 0.0000 0.5000  0.49
Mo: 0.5000 0.0000 0.0000  0.65
As: 0.5000 0.5000 0.5000  -0.06

The space-group type is No. 221. The size of the total moment is 1.61 μB/f.u.

2 | CsMo3As: optimized geometry, PBE.

abc: 4.8942 4.8942 4.8942
angles: 90.00 90.00 90.00
Site moments in Bohr magnetons follow the coordinates.
Sites, in units of the cell vectors:
Cs: 0.5000 0.5000 0.5000  0.12
Mo: 0.0000 0.5000 0.0000  1.20
Mo: 0.0000 0.0000 0.5000  1.15
Mo: 0.5000 0.0000 0.0000  1.12
As: 0.0000 0.0000 0.0000  -0.04

The space-group type is No. 221. The size of the total moment is 4.11 μB/f.u.

Most stable pick: 2. Distance to second place: 150.9 kJ/mol of atoms.